The following is a DFT calculation (PBE) of Y2GaNi4P3 after structural relaxation.

Output
* DFT total energy: -6.470 eV/atom
* ρ: 6.51 g cm⁻³
* space-group type: No. 115

Cell lengths 3.8883, 3.8883, 9.7003 Å; angles 90.00, 90.00, 90.00 degrees
With the nearest neighbours (Å) after each atom.
Element x y z (fractional)
Y 0.5000 0.0000 0.2407  6 P 2.95-3.18, 8 Ni 2.99-3.04, 2 Ga 3.18
Y 0.0000 0.5000 0.7593  6 P 2.95-3.18, 8 Ni 2.99-3.04, 2 Ga 3.18
Ga 0.5000 0.5000 0.5000  4 Ni 2.36
Ni 0.5000 0.5000 0.0000  4 P 2.33
Ni 0.0000 0.0000 0.0000  4 P 2.33
Ni 0.5000 0.0000 0.6372  3 P 2.24-2.36, 2 Ga 2.36
Ni 0.0000 0.5000 0.3628  3 P 2.24-2.36, 2 Ga 2.36
P 0.0000 0.0000 0.5000  4 Ni 2.36
P 0.5000 0.0000 0.8684  5 Ni 2.24-2.33
P 0.0000 0.5000 0.1316  5 Ni 2.24-2.33